No. 1
Compound: Mg2Sc5Ir2Rh
Source: Alexandria
Functional: PBE
Structure: relaxed

Cell lengths 10.8902, 10.8902, 3.4512 Å; angles 90.00, 90.00, 90.00 degrees
Closest atoms and distances in Å follow each position.
Space group P4/mbm (No. 127)
Unique sites:
Mg 0.1759 0.3241 0.0000  1 Ir 2.96, 6 Sc 3.21-3.29
Sc 0.0000 0.5000 0.5000  4 Ir 2.66
Sc 0.0671 0.8050 0.5000  2 Ir 2.65, 2 Rh 2.83
Ir 0.1318 0.6318 0.0000  6 Sc 2.65-2.66, 1 Mg 2.96
Rh 0.0000 0.0000 0.0000  8 Sc 2.83

Calculated values
**Theoretical density**: 6.17 g/cm3
**Calculated formation energy**: -0.60 eV per atom

***

No. 2
Compound: CeDy6Y
Source: Alexandria
Functional: PBE
Structure: relaxed

Cell lengths 6.7291, 11.7046, 6.4839 Å; angles 90.00, 91.17, 90.00 degrees
Closest atoms and distances in Å follow each position.
Space group C2/m (No. 12)
Unique sites:
Ce 0.0000 0.0000 0.0000  2 Y 3.24, 6 Dy 3.42-3.56
Dy 0.0475 0.5000 0.7512  6 Dy 3.22-3.54, 1 Ce 3.42, 1 Y 3.48
Dy 0.1704 0.2549 0.2454  6 Dy 3.22-3.54, 1 Ce 3.56, 1 Y 3.61
Y 0.0000 0.0000 0.5000  2 Ce 3.24, 6 Dy 3.48-3.61

Calculated values
**Energy relative to the lowest polymorph listed for this composition**: 189 meV/atom
**Theoretical density**: 7.83 g/cm3
**Calculated formation energy**: 0.23 eV per atom

***

No. 3
Compound: Ta3Cu
Source: Alexandria
Functional: PBE
Structure: relaxed

Cell lengths 2.8616, 2.8616, 9.7307 Å; angles 90.00, 90.00, 120.00 degrees
Closest atoms and distances in Å follow each position.
Space group P-6m2 (No. 187)
Unique sites:
Ta 0.0000 0.0000 0.0000  12 Ta 2.86-3.07
Ta 0.6667 0.3333 0.2662  3 Cu 2.81, 9 Ta 2.86-3.07
Cu 0.0000 0.0000 0.5000  6 Ta 2.81, 6 Cu 2.86

Calculated values
**Theoretical density**: 14.59 g/cm3
**Calculated formation energy**: 0.26 eV per atom

***

No. 4
Compound: ZnTe
Source: Alexandria
Functional: PBE
Structure: relaxed

Cell lengths 3.9901, 3.9901, 3.6023 Å; angles 90.00, 90.00, 120.00 degrees
Closest atoms and distances in Å follow each position.
Space group P-6m2 (No. 187)
Unique sites:
Zn 0.0000 0.0000 0.0000  6 Te 2.92
Te 0.3333 0.6667 0.5000  6 Zn 2.92

Calculated values
**E_form (uncorrected)**: -0.0254 eV/atom
**Theoretical density**: 6.45 g/cm3

***

No. 5
Compound: Ac2CuNi3Sn4
Source: Alexandria
Functional: PBE
Structure: relaxed

Cell lengths 4.5843, 4.5843, 10.4364 Å; angles 90.00, 90.00, 90.00 degrees
Closest atoms and distances in Å follow each position.
Space group P-4m2 (No. 115)
Unique sites:
Ac 0.0000 0.5000 0.2407  2 Cu 3.40, 6 Ni 3.40-3.53, 8 Sn 3.45-3.55
Cu 0.5000 0.5000 0.0000  4 Sn 2.65
Ni 0.0000 0.0000 0.0000  4 Sn 2.65
Ni 0.0000 0.5000 0.6247  5 Sn 2.60-2.64
Sn 0.0000 0.0000 0.5000  4 Ni 2.64
Sn 0.0000 0.5000 0.8734  3 Ni 2.60-2.65, 2 Cu 2.65
Sn 0.5000 0.5000 0.5000  4 Ni 2.64

Calculated values
**Theoretical density**: 8.85 g/cm3
**Calculated formation energy**: -0.51 eV per atom

***

No. 6
Compound: Sr2Rh2Pb
Source: Alexandria
Functional: PBE
Structure: relaxed

Cell lengths 4.9408, 4.9408, 11.3235 Å; angles 90.00, 90.00, 90.00 degrees
Closest atoms and distances in Å follow each position.
Space group I4/mmm (No. 139)
Unique sites:
Sr 0.0000 0.5000 0.2500  4 Rh 2.93
Rh 0.0000 0.0000 0.1101  1 Rh 2.49
Pb 0.0000 0.0000 0.5000  8 Rh 3.71, 8 Sr 3.76

Calculated values
**Theoretical density**: 7.07 g/cm3
**Calculated formation energy**: 0.28 eV per atom

***

No. 7
Compound: TaReRh2
Source: Alexandria
Functional: PBE
Structure: relaxed

Cell lengths 2.7756, 3.9255, 5.5616 Å; angles 90.00, 90.00, 90.00 degrees
Closest atoms and distances in Å follow each position.
Space group Pmmm (No. 47)
Unique sites:
Ta 0.0000 0.0000 0.0000  2 Ta 2.78, 2 Re 2.78, 8 Rh 2.80
Re 0.0000 0.0000 0.5000  8 Rh 2.75, 2 Re 2.78, 2 Ta 2.78
Rh 0.5000 0.5000 0.2584  4 Rh 2.69-2.87, 4 Re 2.75, 4 Ta 2.80

Calculated values
**Energy relative to the lowest polymorph listed for this composition**: 47 meV/atom
**Theoretical density**: 15.70 g/cm3
**Calculated formation energy**: -0.32 eV per atom

***

No. 8
Compound: PbAuSe2
Source: Alexandria
Functional: PBE
Structure: relaxed

Cell lengths 4.1486, 4.1486, 5.8097 Å; angles 90.00, 90.00, 90.00 degrees
Closest atoms and distances in Å follow each position.
Space group P4/mmm (No. 123)
Unique sites:
Pb 0.0000 0.0000 0.0000  6 Se 2.90-2.93
Au 0.5000 0.5000 0.5000  6 Se 2.90-2.93
Se 0.0000 0.0000 0.5000  2 Pb 2.90, 4 Au 2.93
Se 0.5000 0.5000 0.0000  2 Au 2.90, 4 Pb 2.93

Calculated values
**E_form (uncorrected)**: -0.1267 eV/atom
**Theoretical density**: 9.33 g/cm3

***

No. 9
Compound: K2BeOs
Source: Alexandria
Functional: PBE
Structure: relaxed

Cell lengths 6.3142, 6.3142, 2.5950 Å; angles 90.00, 90.00, 90.00 degrees
Closest atoms and distances in Å follow each position.
Space group P4/mmm (No. 123)
Unique sites:
K 0.0000 0.5000 0.0000  2 K 2.59
Be 0.0000 0.0000 0.5000  2 Be 2.59
Os 0.5000 0.5000 0.5000  2 Os 2.59

Calculated values
**Theoretical density**: 4.45 g/cm3
**Calculated formation energy**: 1.49 eV per atom

***

No. 10
Compound: ZnSiSeBr2
Source: Alexandria
Functional: PBE
Structure: relaxed

Cell lengths 5.0716, 5.0716, 5.0021 Å; angles 90.00, 90.00, 90.00 degrees
Closest atoms and distances in Å follow each position.
Space group P4/mmm (No. 123)
Unique sites:
Zn 0.0000 0.0000 0.0000  8 Br 3.56, 4 Se 3.59
Si 0.5000 0.5000 0.5000  2 Se 2.50, 4 Br 2.54
Se 0.5000 0.5000 0.0000  2 Si 2.50
Br 0.0000 0.5000 0.5000  2 Si 2.54

Calculated values
**Energy relative to the lowest polymorph listed for this composition**: 0 meV/atom
**E_form (uncorrected)**: 0.0998 eV/atom
**Theoretical density**: 4.29 g/cm3

***

No. 11
Compound: K2NiW
Source: Alexandria
Functional: PBE
Structure: relaxed

Cell lengths 2.7584, 5.9130, 5.0901 Å; angles 90.00, 94.45, 90.00 degrees
Closest atoms and distances in Å follow each position.
Space group P2/m (No. 10)
Unique sites:
K 0.2179 0.0000 0.2572  5 K 2.76-2.83
Ni 0.0000 0.5000 0.5000  2 Ni 2.76, 4 W 2.80-2.99
W 0.5000 0.5000 0.0000  2 W 2.76, 4 Ni 2.80-2.99

Calculated values
**Energy relative to the lowest polymorph listed for this composition**: 595 meV/atom
**Theoretical density**: 6.43 g/cm3
**Calculated formation energy**: 1.43 eV per atom

***

No. 12
Compound: ErSeClO4
Source: Alexandria
Functional: PBE
Structure: relaxed

Cell lengths 9.9360, 7.0899, 6.6378 Å; angles 90.00, 104.64, 90.00 degrees
Closest atoms and distances in Å follow each position.
Space group C2/m (No. 12)
Unique sites:
Er 0.2216 0.0000 0.1235  6 O 2.30-2.48
Se 0.1371 0.5000 0.2714  4 O 1.64-1.70
Cl 0.0184 0.0000 0.7676  2 Er 2.66-2.69, 1 O 2.96
O 0.0318 0.5000 0.7568  1 Se 1.64
O 0.1900 0.3212 0.1384  1 Se 1.70
O 0.2258 0.5000 0.5163  1 Se 1.64

Calculated values
**E_form (uncorrected)**: -1.6996 eV/atom
**Theoretical density**: 5.07 g/cm3